Sr2Pd3Pb PBE-GGA relaxed; N(E_F) = 7.830 states/eV/cell; DFT formation energy = -0.56 eV per atom
1.0
5.888 0.000 0.000
-2.944 5.099 0.000
0.000 0.000 9.227
Pd Sr Pb
6 4 2
direct
0.655 0.828 0.250
0.828 0.172 0.750
0.345 0.172 0.750
0.828 0.655 0.750
0.172 0.345 0.250
0.172 0.828 0.250
0.667 0.333 0.067
0.667 0.333 0.433
0.333 0.667 0.567
0.333 0.667 0.933
0.000 0.000 0.000
0.000 0.000 0.500